{
  "formula": "Tm7TlHg4",
  "functional": "PBE",
  "state": "relaxed",
  "total_magnetization_mub_per_cell": 0.9,
  "sg": "No. 12",
  "ef_ev_per_atom": -0.18,
  "lattice": [[-0.5503, 3.1011, -4.7875], [-6.9725, 4.8052, 0.4843], [2.0036, 7.5532, 1.2326]],
  "species": ["Hg", "Hg", "Hg", "Hg", "Tm", "Tm", "Tm", "Tm", "Tm", "Tm", "Tm", "Tl"],
  "frac_coords": [[0.5429, 0.2906, 0.6236], [0.4571, 0.7094, 0.3764], [0.3034, 0.3508, 0.0424], [0.6966, 0.6492, 0.9576], [0.5000, 0.0000, 0.0000], [0.0595, 0.6133, 0.2677], [0.9405, 0.3867, 0.7323], [0.7767, 0.8971, 0.5495], [0.2637, 0.6967, 0.7759], [0.7363, 0.3033, 0.2241], [0.2233, 0.1029, 0.4505], [0.0000, 0.0000, 0.0000]]
}

---

{
  "formula": "TlOsCl",
  "functional": "PBE",
  "state": "relaxed",
  "e_form_raw_mev_per_atom": 1210,
  "total_magnetization_mub_per_cell": 1.6,
  "sg": "No. 216",
  "lattice": [[-1.9764, 3.5760, 2.0728], [-4.5378, 0.5765, -0.2581], [-2.6072, -0.6563, 3.7098]],
  "species": ["Cl", "Os", "Tl"],
  "frac_coords": [[0.5000, 0.5000, 0.5000], [0.7500, 0.7500, 0.7500], [0.0000, 0.0000, 0.0000]]
}